Entry 1:
Material: Ge3BiAs
Method: DFT, PBE-GGA
State: relaxed

Structure (POSCAR):
```
Ge3BiAs
1.0
5.078 0.000 0.000
0.000 5.078 0.000
0.000 0.000 5.078
Ge Bi As
3 1 1
Direct
0.000 0.000 0.500
0.000 0.500 0.000
0.500 0.000 0.000
0.500 0.500 0.500
0.000 0.000 0.000
```

**Polymorph energy (0 for the lowest one)**: 0 meV per atom
**Space group**: Pm-3m (221)
**Formation enthalpy at 0 K**: 267 kJ/mol of formula units

---

Entry 2:
Material: Pr3Nd3Sm8
Method: DFT, PBE-GGA
State: relaxed

Structure (POSCAR):
```
Pr3Nd3Sm8
1.0
-2.890 5.493 7.736
2.890 -5.493 7.736
2.890 5.493 -7.736
Pr Nd Sm
3 3 8
Direct
0.000 0.000 0.000
0.304 0.000 0.304
0.696 0.000 0.696
0.315 0.815 0.500
0.500 0.500 0.000
0.685 0.185 0.500
0.058 0.397 0.661
0.061 0.222 0.840
0.264 0.603 0.661
0.382 0.222 0.160
0.618 0.778 0.840
0.736 0.397 0.339
0.939 0.778 0.160
0.942 0.603 0.339
```

**Polymorph energy (0 for the lowest one)**: 4 meV per atom
**Space group**: Immm (71)
**Formation enthalpy at 0 K**: 139 kJ/mol of formula units

---

Entry 3:
Material: Ta3CoAu
Method: DFT, PBE-GGA
State: relaxed

Structure (POSCAR):
```
Ta3CoAu
1.0
4.560 0.000 0.000
0.000 4.560 0.000
0.000 0.000 4.560
Ta Co Au
3 1 1
Direct
0.000 0.000 0.500
0.000 0.500 0.000
0.500 0.000 0.000
0.000 0.000 0.000
0.500 0.500 0.500
```

**Polymorph energy (0 for the lowest one)**: 0 meV per atom
**Space group**: Pm-3m (221)
**Formation enthalpy at 0 K**: 303 kJ/mol of formula units

---

Entry 4:
Material: NaCa2Er
Method: DFT, PBE-GGA
State: relaxed

Structure (POSCAR):
```
NaCa2Er
1.0
3.671 0.000 0.000
0.000 3.671 0.000
0.000 0.000 11.068
Na Ca Er
1 2 1
Direct
0.000 0.000 0.000
0.500 0.500 0.262
0.500 0.500 0.738
0.000 0.000 0.500
```

**Polymorph energy (0 for the lowest one)**: 3 meV per atom
**Space group**: P4/mmm (123)
**Formation enthalpy at 0 K**: 42 kJ/mol of formula units

---

Entry 5:
Material: Ca2LuAg
Method: DFT, PBE-GGA
State: relaxed

Structure (POSCAR):
```
Ca2LuAg
1.0
1.811 1.046 11.356
-1.811 1.046 11.356
0.000 -2.092 11.356
Ca Lu Ag
2 1 1
Direct
0.100 0.100 0.100
0.900 0.900 0.900
0.000 0.000 0.000
0.500 0.500 0.500
```

**Polymorph energy (0 for the lowest one)**: 234 meV per atom
**Space group**: R-3m (166)
**Formation enthalpy at 0 K**: 76 kJ/mol of formula units

---

Entry 6:
Material: KSi3Pt5
Method: DFT, PBE-GGA
State: relaxed

Structure (POSCAR):
```
KSi3Pt5
1.0
1.984 -6.376 0.000
1.984 6.376 0.000
0.000 0.000 12.749
K Si Pt
2 6 10
Direct
0.159 0.841 0.750
0.841 0.159 0.250
0.110 0.890 0.250
0.385 0.615 0.039
0.385 0.615 0.461
0.615 0.385 0.539
0.615 0.385 0.961
0.890 0.110 0.750
0.000 0.000 0.000
0.000 0.000 0.500
0.205 0.795 0.070
0.205 0.795 0.430
0.445 0.555 0.643
0.445 0.555 0.857
0.555 0.445 0.143
0.555 0.445 0.357
0.795 0.205 0.570
0.795 0.205 0.930
```

**Total energy**: -5.913 eV/atom
**Space group**: Cmcm (63)

---

Entry 7:
Material: Pr2Cd
Method: DFT, PBE-GGA
State: relaxed

Structure (POSCAR):
```
Pr2Cd
1.0
-1.901 1.901 6.607
1.901 -1.901 6.607
1.901 1.901 -6.607
Pr Cd
2 1
Direct
0.154 0.154 0.000
0.846 0.846 0.000
0.500 0.500 0.000
```

**Polymorph energy (0 for the lowest one)**: 7 meV per atom
**Space group**: I4/mmm (139)
**Formation enthalpy at 0 K**: -58 kJ/mol of formula units

---

Entry 8:
Material: HfCuRe2Pb
Method: DFT, PBE-GGA
State: relaxed

Structure (POSCAR):
```
HfCuRe2Pb
1.0
4.969 0.000 0.000
0.000 4.969 0.000
0.000 0.000 5.238
Hf Cu Re Pb
1 1 2 1
Direct
0.000 0.000 0.000
0.500 0.500 0.000
0.000 0.500 0.500
0.500 0.000 0.500
0.000 0.000 0.500
```

**Space group**: P4/mmm (123)
**Formation enthalpy at 0 K**: 1336 kJ/mol of formula units

---

Entry 9:
Material: CuPbW2
Method: DFT, PBE-GGA
State: relaxed

Structure (POSCAR):
```
CuPbW2
1.0
1.673 -2.387 0.000
1.673 2.387 0.000
0.000 0.000 9.222
Cu Pb W
1 1 2
Direct
0.000 0.000 0.000
0.500 0.500 0.279
0.000 0.000 0.564
0.500 0.500 0.784
```

**Space group**: Cmm2 (35)
**Formation enthalpy at 0 K**: 241 kJ/mol of formula units

---

Entry 10:
Material: KAg2HgAu
Method: DFT, PBE-GGA
State: relaxed

Structure (POSCAR):
```
KAg2HgAu
1.0
5.340 0.000 0.000
0.000 5.340 0.000
0.000 0.000 5.388
K Ag Hg Au
1 2 1 1
Direct
0.000 0.000 0.000
0.000 0.500 0.500
0.500 0.000 0.500
0.500 0.500 0.000
0.500 0.500 0.500
```

**Polymorph energy (0 for the lowest one)**: 0 meV per atom
**Space group**: P4/mmm (123)
**Formation enthalpy at 0 K**: 23 kJ/mol of formula units

---

Entry 11:
Material: TmGa8Fe4
Method: DFT, PBE-GGA
State: relaxed

Structure (POSCAR):
```
TmGa8Fe4
1.0
-4.336 4.336 2.532
4.336 -4.336 2.532
4.336 4.336 -2.532
Tm Ga Fe
1 8 4
Direct
0.000 0.000 0.000
0.000 0.338 0.338
0.000 0.662 0.662
0.280 0.500 0.780
0.338 0.000 0.338
0.500 0.280 0.780
0.500 0.720 0.220
0.662 0.000 0.662
0.720 0.500 0.220
0.000 0.000 0.500
0.000 0.500 0.000
0.500 0.000 0.000
0.500 0.500 0.500
```

**Space group**: I4/mmm (139)
**Formation enthalpy at 0 K**: -351 kJ/mol of formula units

---

Entry 12:
Material: BaTa4Zn
Method: DFT, PBE-GGA
State: relaxed

Structure (POSCAR):
```
BaTa4Zn
1.0
0.000 4.053 4.053
4.053 0.000 4.053
4.053 4.053 0.000
Ba Ta Zn
1 4 1
Direct
0.000 0.000 0.000
0.122 0.626 0.626
0.626 0.122 0.626
0.626 0.626 0.122
0.626 0.626 0.626
0.250 0.250 0.250
```

**Space group**: F-43m (216)
**Formation enthalpy at 0 K**: 497 kJ/mol of formula units

---

Entry 13:
Material: LiReNO2
Method: DFT, PBE-GGA
State: relaxed

Structure (POSCAR):
```
LiReNO2
1.0
3.870 0.000 0.000
0.000 3.870 0.000
0.000 0.000 3.853
Li Re N O
1 1 1 2
Direct
0.000 0.000 0.000
0.500 0.500 0.500
0.500 0.500 0.000
0.000 0.500 0.500
0.500 0.000 0.500
```

**Total energy**: -7.561 eV/atom
**Space group**: P4/mmm (123)

---

Entry 14:
Material: CeThSn6
Method: DFT, PBE-GGA
State: relaxed

Structure (POSCAR):
```
CeThSn6
1.0
4.735 0.000 0.000
0.000 4.735 0.000
0.000 0.000 9.472
Ce Th Sn
1 1 6
Direct
0.000 0.000 0.000
0.000 0.000 0.500
0.000 0.500 0.248
0.000 0.500 0.752
0.500 0.000 0.248
0.500 0.000 0.752
0.500 0.500 0.000
0.500 0.500 0.500
```

**Space group**: P4/mmm (123)
**Formation enthalpy at 0 K**: -382 kJ/mol of formula units

---

Entry 15:
Material: CeTm2Cu
Method: DFT, PBE-GGA
State: relaxed

Structure (POSCAR):
```
CeTm2Cu
1.0
1.657 0.956 10.785
-1.657 0.956 10.785
0.000 -1.913 10.785
Ce Tm Cu
1 2 1
Direct
0.000 0.000 0.000
0.101 0.101 0.101
0.899 0.899 0.899
0.500 0.500 0.500
```

**Polymorph energy (0 for the lowest one)**: 280 meV per atom
**Space group**: R-3m (166)
**Formation enthalpy at 0 K**: 77 kJ/mol of formula units

---

Entry 16:
Material: Al4CuSi2
Method: DFT, PBE-GGA
State: relaxed

Structure (POSCAR):
```
Al4CuSi2
1.0
4.188 0.000 0.000
-2.094 3.627 0.000
0.000 0.000 9.461
Al Cu Si
4 1 2
Direct
0.333 0.667 0.395
0.333 0.667 0.936
0.667 0.333 0.064
0.667 0.333 0.605
0.000 0.000 0.000
0.333 0.667 0.675
0.667 0.333 0.325
```

**Polymorph energy (0 for the lowest one)**: 8 meV per atom
**Space group**: P-3m1 (164)

---

Entry 17:
Material: LiLuCd
Method: DFT, PBE-GGA
State: relaxed

Structure (POSCAR):
```
LiLuCd
1.0
-1.845 1.845 4.945
1.845 -1.845 4.945
1.845 1.845 -4.945
Li Lu Cd
1 1 1
Direct
0.000 0.000 0.000
0.315 0.315 0.000
0.636 0.636 0.000
```

**Polymorph energy (0 for the lowest one)**: 13 meV per atom
**Space group**: I4mm (107)
**Formation enthalpy at 0 K**: -34 kJ/mol of formula units

---

Entry 18:
Material: TbNdRhBr
Method: DFT, PBE-GGA
State: relaxed

Structure (POSCAR):
```
TbNdRhBr
1.0
2.025 1.169 7.839
-2.025 1.169 7.839
0.000 -2.338 7.839
Tb Nd Rh Br
1 1 1 1
Direct
0.000 0.000 0.000
0.796 0.796 0.796
0.395 0.395 0.395
0.568 0.568 0.568
```

**Total energy**: -5.675 eV/atom
**Space group**: R3m (160)

---

Entry 19:
Material: DyAlPd
Method: DFT, PBE-GGA
State: relaxed

Structure (POSCAR):
```
DyAlPd
1.0
7.054 0.000 0.000
0.000 4.280 0.000
-0.359 0.000 11.943
Dy Al Pd
6 6 6
Direct
0.031 0.250 0.374
0.154 0.250 0.082
0.466 0.750 0.710
0.534 0.250 0.290
0.846 0.750 0.918
0.969 0.750 0.626
0.140 0.250 0.798
0.356 0.750 0.457
0.497 0.750 0.083
0.503 0.250 0.917
0.644 0.250 0.543
0.860 0.750 0.202
0.241 0.750 0.244
0.269 0.750 0.909
0.272 0.250 0.575
0.728 0.750 0.425
0.731 0.250 0.091
0.759 0.250 0.756
```

**Space group**: P2_1/m (11)
**Formation enthalpy at 0 K**: -251 kJ/mol of formula units

---

Entry 20:
Material: Ta4BTe8
Method: DFT, PBE-GGA
State: relaxed

Structure (POSCAR):
```
Ta4BTe8
1.0
11.828 0.000 0.000
0.000 17.109 0.000
0.000 0.000 3.591
Ta B Te
8 2 16
Direct
0.078 0.068 0.000
0.147 0.919 0.500
0.353 0.419 0.500
0.422 0.568 0.000
0.578 0.432 0.000
0.647 0.581 0.500
0.853 0.081 0.500
0.922 0.932 0.000
0.000 0.000 0.500
0.500 0.500 0.500
0.071 0.806 0.000
0.147 0.321 0.500
0.207 0.496 0.000
0.215 0.163 0.500
0.285 0.663 0.500
0.293 0.996 0.000
0.353 0.821 0.500
0.429 0.306 0.000
0.571 0.694 0.000
0.647 0.179 0.500
0.707 0.004 0.000
0.715 0.337 0.500
0.785 0.837 0.500
0.793 0.504 0.000
0.853 0.679 0.500
0.929 0.194 0.000
```

**Total energy**: -6.516 eV/atom
**Space group**: Pbam (55)

---

Spin magnetization values (in Bohr magnetons per cell) by entry order: 0.00, 0.00, 0.00, 0.55, 0.31, 0.00, 0.04, 1.87, 0.00, 0.00, 6.08, 0.00, 0.00, 0.17, 0.51, 0.00, 0.00, 0.00, 0.00, 0.00.
N(E_F) values (in states/eV per atom) by entry order: 0.40, 1.41, 0.55, 1.29, 1.09, 0.33, 1.40, 0.94, 0.73, 0.23, 0.64, 1.41, 0.31, 0.94, 1.56, 0.31, 0.45, 0.10, 0.55, 0.27.